No. 1
{"formula": "KSbP2O8", "functional": "PBEsol", "state": "relaxed", "density_g_cm3": 3.5, "final_energy_ev_per_atom": -6.96, "formation_energy_uncorrected_mev_per_atom": -2016, "lattice": [[2.393, 1.381, 8.510], [-2.393, 1.381, 8.510], [0.000, -2.763, 8.510]], "species": ["K", "Sb", "P", "P", "O", "O", "O", "O", "O", "O", "O", "O"], "frac_coords": [[0.000, 0.000, 0.000], [0.500, 0.500, 0.500], [0.236, 0.236, 0.236], [0.764, 0.764, 0.764], [0.104, 0.763, 0.495], [0.237, 0.505, 0.896], [0.294, 0.294, 0.294], [0.495, 0.104, 0.763], [0.505, 0.896, 0.237], [0.706, 0.706, 0.706], [0.763, 0.495, 0.104], [0.896, 0.237, 0.505]]}

=====

No. 2
{"formula": "K2SbPO6", "functional": "PBEsol", "state": "relaxed", "density_g_cm3": 3.5, "final_energy_ev_per_atom": -6.41, "formation_energy_uncorrected_mev_per_atom": -2003, "lattice": [[9.416, 0.000, 0.000], [0.000, 5.926, 0.000], [0.000, 0.000, 11.034]], "species": ["K", "K", "K", "K", "K", "K", "K", "K", "Sb", "Sb", "Sb", "Sb", "P", "P", "P", "P", "O", "O", "O", "O", "O", "O", "O", "O", "O", "O", "O", "O", "O", "O", "O", "O", "O", "O", "O", "O", "O", "O", "O", "O"], "frac_coords": [[0.116, 0.250, 0.159], [0.171, 0.250, 0.807], [0.329, 0.750, 0.307], [0.384, 0.750, 0.659], [0.616, 0.250, 0.341], [0.671, 0.250, 0.693], [0.829, 0.750, 0.193], [0.884, 0.750, 0.841], [0.000, 0.000, 0.500], [0.000, 0.500, 0.500], [0.500, 0.000, 0.000], [0.500, 0.500, 0.000], [0.195, 0.750, 0.990], [0.305, 0.250, 0.490], [0.695, 0.750, 0.510], [0.805, 0.250, 0.010], [0.002, 0.250, 0.381], [0.035, 0.750, 0.381], [0.064, 0.750, 0.069], [0.172, 0.750, 0.854], [0.212, 0.034, 0.529], [0.212, 0.466, 0.529], [0.288, 0.534, 0.029], [0.288, 0.966, 0.029], [0.328, 0.250, 0.354], [0.436, 0.250, 0.569], [0.465, 0.250, 0.881], [0.498, 0.750, 0.881], [0.502, 0.250, 0.119], [0.535, 0.750, 0.119], [0.564, 0.750, 0.431], [0.672, 0.750, 0.646], [0.712, 0.034, 0.971], [0.712, 0.466, 0.971], [0.788, 0.534, 0.471], [0.788, 0.966, 0.471], [0.828, 0.250, 0.146], [0.936, 0.250, 0.931], [0.965, 0.250, 0.619], [0.998, 0.750, 0.619]]}

=====

No. 3
{"formula": "K3ScP2O8", "functional": "PBEsol", "state": "relaxed", "density_g_cm3": 3.0, "final_energy_ev_per_atom": -7.13, "formation_energy_uncorrected_mev_per_atom": -2586, "lattice": [[9.450, 0.000, 0.000], [-4.725, 8.184, 0.000], [0.000, 0.000, 7.557]], "species": ["K", "K", "K", "K", "K", "K", "K", "K", "K", "Sc", "Sc", "Sc", "P", "P", "P", "P", "P", "P", "O", "O", "O", "O", "O", "O", "O", "O", "O", "O", "O", "O", "O", "O", "O", "O", "O", "O", "O", "O", "O", "O", "O", "O"], "frac_coords": [[0.000, 0.000, 0.000], [0.001, 0.667, 0.744], [0.333, 0.334, 0.744], [0.333, 0.667, 0.994], [0.334, 0.001, 0.256], [0.666, 0.999, 0.744], [0.667, 0.333, 0.006], [0.667, 0.666, 0.256], [0.999, 0.333, 0.256], [0.000, 0.000, 0.500], [0.333, 0.667, 0.467], [0.667, 0.333, 0.533], [0.013, 0.340, 0.727], [0.328, 0.987, 0.727], [0.340, 0.328, 0.273], [0.660, 0.672, 0.727], [0.672, 0.013, 0.273], [0.987, 0.660, 0.273], [0.007, 0.825, 0.340], [0.068, 0.367, 0.919], [0.145, 0.483, 0.612], [0.154, 0.665, 0.297], [0.175, 0.182, 0.340], [0.182, 0.007, 0.660], [0.299, 0.932, 0.919], [0.335, 0.489, 0.297], [0.338, 0.855, 0.612], [0.367, 0.299, 0.081], [0.483, 0.338, 0.388], [0.489, 0.154, 0.703], [0.511, 0.846, 0.297], [0.517, 0.662, 0.612], [0.633, 0.701, 0.919], [0.662, 0.145, 0.388], [0.665, 0.511, 0.703], [0.701, 0.068, 0.081], [0.818, 0.993, 0.340], [0.825, 0.818, 0.660], [0.846, 0.335, 0.703], [0.855, 0.517, 0.388], [0.932, 0.633, 0.081], [0.993, 0.175, 0.660]]}

=====

No. 4
{"formula": "KSiP2O", "functional": "PBEsol", "state": "relaxed", "density_g_cm3": 2.2, "final_energy_ev_per_atom": -2.96, "formation_energy_uncorrected_mev_per_atom": 1784, "lattice": [[5.112, 0.000, 0.000], [0.000, 5.112, 0.000], [0.000, 0.000, 4.244]], "species": ["K", "Si", "P", "P", "O"], "frac_coords": [[0.000, 0.000, 0.000], [0.500, 0.500, 0.500], [0.000, 0.500, 0.000], [0.500, 0.000, 0.000], [0.000, 0.000, 0.500]]}

=====

No. 5
{"formula": "KTi3Si2P6O25", "functional": "PBEsol", "state": "relaxed", "density_g_cm3": 2.6, "final_energy_ev_per_atom": -8.05, "formation_energy_uncorrected_mev_per_atom": -2544, "lattice": [[8.349, 0.000, 0.000], [-4.174, 7.230, 0.000], [0.000, 0.000, 17.183]], "species": ["K", "K", "Ti", "Ti", "Ti", "Ti", "Ti", "Ti", "Si", "Si", "Si", "Si", "P", "P", "P", "P", "P", "P", "P", "P", "P", "P", "P", "P", "O", "O", "O", "O", "O", "O", "O", "O", "O", "O", "O", "O", "O", "O", "O", "O", "O", "O", "O", "O", "O", "O", "O", "O", "O", "O", "O", "O", "O", "O", "O", "O", "O", "O", "O", "O", "O", "O", "O", "O", "O", "O", "O", "O", "O", "O", "O", "O", "O", "O"], "frac_coords": [[0.333, 0.667, 0.250], [0.667, 0.333, 0.750], [0.333, 0.667, 0.024], [0.333, 0.667, 0.476], [0.333, 0.667, 0.750], [0.667, 0.333, 0.250], [0.667, 0.333, 0.524], [0.667, 0.333, 0.976], [0.000, 0.000, 0.093], [0.000, 0.000, 0.407], [0.000, 0.000, 0.593], [0.000, 0.000, 0.907], [0.051, 0.384, 0.610], [0.051, 0.667, 0.890], [0.333, 0.384, 0.890], [0.333, 0.949, 0.610], [0.384, 0.051, 0.110], [0.384, 0.333, 0.390], [0.616, 0.667, 0.610], [0.616, 0.949, 0.890], [0.667, 0.051, 0.390], [0.667, 0.616, 0.110], [0.949, 0.333, 0.110], [0.949, 0.616, 0.390], [0.000, 0.000, 0.000], [0.000, 0.000, 0.500], [0.018, 0.190, 0.126], [0.018, 0.828, 0.374], [0.123, 0.519, 0.094], [0.123, 0.604, 0.406], [0.137, 0.481, 0.686], [0.137, 0.656, 0.814], [0.172, 0.190, 0.374], [0.172, 0.982, 0.126], [0.186, 0.446, 0.541], [0.186, 0.740, 0.959], [0.190, 0.018, 0.626], [0.190, 0.172, 0.874], [0.260, 0.446, 0.959], [0.260, 0.814, 0.541], [0.344, 0.481, 0.814], [0.344, 0.863, 0.686], [0.396, 0.519, 0.406], [0.396, 0.877, 0.094], [0.446, 0.186, 0.041], [0.446, 0.260, 0.459], [0.481, 0.137, 0.186], [0.481, 0.344, 0.314], [0.481, 0.604, 0.094], [0.481, 0.877, 0.406], [0.519, 0.123, 0.594], [0.519, 0.396, 0.906], [0.519, 0.656, 0.686], [0.519, 0.863, 0.814], [0.554, 0.740, 0.541], [0.554, 0.814, 0.959], [0.604, 0.123, 0.906], [0.604, 0.481, 0.594], [0.656, 0.137, 0.314], [0.656, 0.519, 0.186], [0.740, 0.186, 0.459], [0.740, 0.554, 0.041], [0.810, 0.828, 0.126], [0.810, 0.982, 0.374], [0.814, 0.260, 0.041], [0.814, 0.554, 0.459], [0.828, 0.018, 0.874], [0.828, 0.810, 0.626], [0.863, 0.344, 0.186], [0.863, 0.519, 0.314], [0.877, 0.396, 0.594], [0.877, 0.481, 0.906], [0.982, 0.172, 0.626], [0.982, 0.810, 0.874]]}

=====

No. 6
{"formula": "KSmP4O12", "functional": "PBEsol", "state": "relaxed", "density_g_cm3": 3.5, "final_energy_ev_per_atom": -7.61, "formation_energy_uncorrected_mev_per_atom": -2474, "lattice": [[3.946, -6.222, 0.000], [3.946, 6.222, 0.000], [-3.739, 0.000, 9.881]], "species": ["K", "K", "Sm", "Sm", "P", "P", "P", "P", "P", "P", "P", "P", "O", "O", "O", "O", "O", "O", "O", "O", "O", "O", "O", "O", "O", "O", "O", "O", "O", "O", "O", "O", "O", "O", "O", "O"], "frac_coords": [[0.185, 0.815, 0.750], [0.815, 0.185, 0.250], [0.120, 0.880, 0.250], [0.880, 0.120, 0.750], [0.257, 0.305, 0.557], [0.284, 0.626, 0.001], [0.305, 0.257, 0.057], [0.374, 0.716, 0.499], [0.626, 0.284, 0.501], [0.695, 0.743, 0.943], [0.716, 0.374, 0.999], [0.743, 0.695, 0.443], [0.086, 0.487, 0.886], [0.137, 0.167, 0.413], [0.167, 0.137, 0.913], [0.185, 0.242, 0.671], [0.187, 0.700, 0.401], [0.242, 0.185, 0.171], [0.279, 0.535, 0.571], [0.300, 0.813, 0.099], [0.357, 0.500, 0.087], [0.465, 0.721, 0.929], [0.487, 0.086, 0.386], [0.500, 0.357, 0.587], [0.500, 0.643, 0.413], [0.513, 0.914, 0.614], [0.535, 0.279, 0.071], [0.643, 0.500, 0.913], [0.700, 0.187, 0.901], [0.721, 0.465, 0.429], [0.758, 0.815, 0.829], [0.813, 0.300, 0.599], [0.815, 0.758, 0.329], [0.833, 0.863, 0.087], [0.863, 0.833, 0.587], [0.914, 0.513, 0.114]]}

=====

Copy entry 5 word for word.
{"formula": "KTi3Si2P6O25", "functional": "PBEsol", "state": "relaxed", "density_g_cm3": 2.6, "final_energy_ev_per_atom": -8.05, "formation_energy_uncorrected_mev_per_atom": -2544, "lattice": [[8.349, 0.000, 0.000], [-4.174, 7.230, 0.000], [0.000, 0.000, 17.183]], "species": ["K", "K", "Ti", "Ti", "Ti", "Ti", "Ti", "Ti", "Si", "Si", "Si", "Si", "P", "P", "P", "P", "P", "P", "P", "P", "P", "P", "P", "P", "O", "O", "O", "O", "O", "O", "O", "O", "O", "O", "O", "O", "O", "O", "O", "O", "O", "O", "O", "O", "O", "O", "O", "O", "O", "O", "O", "O", "O", "O", "O", "O", "O", "O", "O", "O", "O", "O", "O", "O", "O", "O", "O", "O", "O", "O", "O", "O", "O", "O"], "frac_coords": [[0.333, 0.667, 0.250], [0.667, 0.333, 0.750], [0.333, 0.667, 0.024], [0.333, 0.667, 0.476], [0.333, 0.667, 0.750], [0.667, 0.333, 0.250], [0.667, 0.333, 0.524], [0.667, 0.333, 0.976], [0.000, 0.000, 0.093], [0.000, 0.000, 0.407], [0.000, 0.000, 0.593], [0.000, 0.000, 0.907], [0.051, 0.384, 0.610], [0.051, 0.667, 0.890], [0.333, 0.384, 0.890], [0.333, 0.949, 0.610], [0.384, 0.051, 0.110], [0.384, 0.333, 0.390], [0.616, 0.667, 0.610], [0.616, 0.949, 0.890], [0.667, 0.051, 0.390], [0.667, 0.616, 0.110], [0.949, 0.333, 0.110], [0.949, 0.616, 0.390], [0.000, 0.000, 0.000], [0.000, 0.000, 0.500], [0.018, 0.190, 0.126], [0.018, 0.828, 0.374], [0.123, 0.519, 0.094], [0.123, 0.604, 0.406], [0.137, 0.481, 0.686], [0.137, 0.656, 0.814], [0.172, 0.190, 0.374], [0.172, 0.982, 0.126], [0.186, 0.446, 0.541], [0.186, 0.740, 0.959], [0.190, 0.018, 0.626], [0.190, 0.172, 0.874], [0.260, 0.446, 0.959], [0.260, 0.814, 0.541], [0.344, 0.481, 0.814], [0.344, 0.863, 0.686], [0.396, 0.519, 0.406], [0.396, 0.877, 0.094], [0.446, 0.186, 0.041], [0.446, 0.260, 0.459], [0.481, 0.137, 0.186], [0.481, 0.344, 0.314], [0.481, 0.604, 0.094], [0.481, 0.877, 0.406], [0.519, 0.123, 0.594], [0.519, 0.396, 0.906], [0.519, 0.656, 0.686], [0.519, 0.863, 0.814], [0.554, 0.740, 0.541], [0.554, 0.814, 0.959], [0.604, 0.123, 0.906], [0.604, 0.481, 0.594], [0.656, 0.137, 0.314], [0.656, 0.519, 0.186], [0.740, 0.186, 0.459], [0.740, 0.554, 0.041], [0.810, 0.828, 0.126], [0.810, 0.982, 0.374], [0.814, 0.260, 0.041], [0.814, 0.554, 0.459], [0.828, 0.018, 0.874], [0.828, 0.810, 0.626], [0.863, 0.344, 0.186], [0.863, 0.519, 0.314], [0.877, 0.396, 0.594], [0.877, 0.481, 0.906], [0.982, 0.172, 0.626], [0.982, 0.810, 0.874]]}